A.
A geometry-optimized LaNdTmIn structure, computed with PBE-GGA.

Results
V = 29.93 Å³/atom

Lattice parameters (Å, degrees): 7.8234 7.8234 7.8234 90.00 90.00 90.00
Space group F-43m (No. 216)
Unique sites:
1 La 0.0000 0.0000 0.0000 x4
2 Nd 0.2500 0.2500 0.2500 x4
3 Tm 0.2500 0.2500 0.7500 x4
4 In 0.0000 0.0000 0.5000 x4


B.
A geometry-optimized LaNdTmIn structure, computed with PBE-GGA.

Results
V = 30.64 Å³/atom

Lattice parameters (Å, degrees): 7.8851 7.8851 7.8851 90.00 90.00 90.00
Space group F-43m (No. 216)
Unique sites:
1 La 0.0000 0.0000 0.0000 x4
2 Nd 0.2500 0.2500 0.2500 x4
3 Tm 0.0000 0.0000 0.5000 x4
4 In 0.2500 0.2500 0.7500 x4


What is the most stable structure shown above? It is B.